Entry 1:
VASP calculation (PBE) on an optimized crystal structure of KNb2SnIr.

Lattice parameters (Å, degrees): 5.1098 5.1682 5.1098 90.00 90.00 90.00
Closest atoms and distances in Å follow each position.
Element x y z (fractional)
K 0.5000 0.5000 0.5000  4 Sn 3.61, 8 Nb 3.63
Nb 0.0000 0.0000 0.5000  2 Ir 2.55
Nb 0.5000 0.0000 0.0000  2 Ir 2.55
Ir 0.0000 0.0000 0.0000  4 Nb 2.55, 2 Sn 2.58
Sn 0.0000 0.5000 0.0000  2 Ir 2.58

Values from the calculation:
- space group = P4/mmm (123)
- ΔH_f (0 K) (meV per atom) = 863

---

Entry 2:
VASP calculation (PBE) on an optimized crystal structure of ReOsPt2.

Lattice parameters (Å, degrees): 3.9104 2.7538 6.2351 63.76 90.00 90.00
Closest atoms and distances in Å follow each position.
Element x y z (fractional)
Re 0.0000 0.4850 0.5133  4 Os 2.69-2.70, 6 Pt 2.70-2.90, 2 Re 2.75
Os 0.5000 0.7662 0.7365  4 Re 2.69-2.70, 6 Pt 2.69-2.90, 2 Os 2.75
Pt 0.0000 0.0043 0.9952  2 Re 2.70-2.90, 6 Pt 2.75-2.80, 4 Os 2.79-2.80
Pt 0.5000 0.2445 0.2550  2 Os 2.69-2.90, 6 Pt 2.75-2.80, 4 Re 2.79-2.80

Values from the calculation:
- space group = Pm (6)
- ΔH_f (0 K) (meV per atom) = -28

---

Entry 3:
VASP calculation (PBE) on an optimized crystal structure of ZrMnGe2.

Lattice parameters (Å, degrees): 8.1037 9.2869 10.1937 90.00 90.00 90.00
Closest atoms and distances in Å follow each position.
Element x y z (fractional)
Zr 0.7448 0.8275 0.0477  8 Ge 2.77-2.96, 2 Mn 3.04-3.08
Zr 0.7448 0.1725 0.9523  8 Ge 2.77-2.96, 2 Mn 3.04-3.08
Zr 0.2552 0.6725 0.5477  8 Ge 2.77-2.96, 2 Mn 3.04-3.08
Zr 0.2552 0.3275 0.4523  8 Ge 2.77-2.96, 2 Mn 3.04-3.08
Zr 0.2552 0.1725 0.9523  8 Ge 2.77-2.96, 2 Mn 3.04-3.08
Zr 0.2552 0.8275 0.0477  8 Ge 2.77-2.96, 2 Mn 3.04-3.08
Zr 0.7448 0.3275 0.4523  8 Ge 2.77-2.96, 2 Mn 3.04-3.08
Zr 0.7448 0.6725 0.5477  8 Ge 2.77-2.96, 2 Mn 3.04-3.08
Zr 0.5000 0.8350 0.3203  7 Ge 2.78-2.92
Zr 0.5000 0.1650 0.6797  7 Ge 2.78-2.92
Zr 0.5000 0.6650 0.8203  7 Ge 2.78-2.92
Zr 0.5000 0.3350 0.1797  7 Ge 2.78-2.92
Mn 0.7507 0.5846 0.2475  6 Ge 2.46-2.55, 1 Mn 2.64
Mn 0.7507 0.4154 0.7525  6 Ge 2.46-2.55, 1 Mn 2.64
Mn 0.2493 0.9154 0.7475  6 Ge 2.46-2.55, 1 Mn 2.64
Mn 0.2493 0.0846 0.2525  6 Ge 2.46-2.55, 1 Mn 2.64
Mn 0.2493 0.4154 0.7525  6 Ge 2.46-2.55, 1 Mn 2.64
Mn 0.2493 0.5846 0.2475  6 Ge 2.46-2.55, 1 Mn 2.64
Mn 0.7507 0.0846 0.2525  6 Ge 2.46-2.55, 1 Mn 2.64
Mn 0.7507 0.9154 0.7475  6 Ge 2.46-2.55, 1 Mn 2.64
Mn 0.7466 0.0000 0.5000  6 Ge 2.54-2.56, 2 Mn 2.64
Mn 0.2534 0.5000 0.0000  6 Ge 2.54-2.56, 2 Mn 2.64
Mn 0.2534 0.0000 0.5000  6 Ge 2.54-2.56, 2 Mn 2.64
Mn 0.7466 0.5000 0.0000  6 Ge 2.54-2.56, 2 Mn 2.64
Ge 0.8430 0.8336 0.3183  3 Mn 2.54, 1 Ge 2.54, 1 Zr 2.78
Ge 0.8430 0.1664 0.6817  3 Mn 2.54, 1 Ge 2.54, 1 Zr 2.78
Ge 0.1570 0.6664 0.8183  3 Mn 2.54, 1 Ge 2.54, 1 Zr 2.78
Ge 0.1570 0.3336 0.1817  3 Mn 2.54, 1 Ge 2.54, 1 Zr 2.78
Ge 0.1570 0.1664 0.6817  3 Mn 2.54, 1 Ge 2.54, 1 Zr 2.78
Ge 0.1570 0.8336 0.3183  3 Mn 2.54, 1 Ge 2.54, 1 Zr 2.78
Ge 0.8430 0.3336 0.1817  3 Mn 2.54, 1 Ge 2.54, 1 Zr 2.78
Ge 0.8430 0.6664 0.8183  3 Mn 2.54, 1 Ge 2.54, 1 Zr 2.78
Ge 0.5000 0.5406 0.3794  2 Mn 2.47, 1 Ge 2.57
Ge 0.5000 0.4594 0.6206  2 Mn 2.47, 1 Ge 2.57
Ge 0.5000 0.9594 0.8794  2 Mn 2.47, 1 Ge 2.57
Ge 0.5000 0.0406 0.1206  2 Mn 2.47, 1 Ge 2.57
Ge 0.0000 0.5397 0.3780  2 Mn 2.46, 1 Ge 2.59
Ge 0.0000 0.4603 0.6220  2 Mn 2.46, 1 Ge 2.59
Ge 0.0000 0.9603 0.8780  2 Mn 2.46, 1 Ge 2.59
Ge 0.0000 0.0397 0.1220  2 Mn 2.46, 1 Ge 2.59
Ge 0.5000 0.6288 0.1035  4 Mn 2.54-2.56, 3 Zr 2.77-2.84
Ge 0.5000 0.3712 0.8965  4 Mn 2.54-2.56, 3 Zr 2.77-2.84
Ge 0.5000 0.8712 0.6035  4 Mn 2.54-2.56, 3 Zr 2.77-2.84
Ge 0.5000 0.1288 0.3965  4 Mn 2.54-2.56, 3 Zr 2.77-2.84
Ge 0.0000 0.6226 0.0996  4 Mn 2.55-2.56
Ge 0.0000 0.3774 0.9004  4 Mn 2.55-2.56
Ge 0.0000 0.8774 0.5996  4 Mn 2.55-2.56
Ge 0.0000 0.1226 0.4004  4 Mn 2.55-2.56

Values from the calculation:
- space group = Pbam (55)
- ΔH_f (0 K) (meV per atom) = -524

---

Entry 4:
VASP calculation (PBE) on an optimized crystal structure of HfZnCr2H.

Lattice parameters (Å, degrees): 5.0390 3.4370 5.0390 90.00 90.00 90.00
Closest atoms and distances in Å follow each position.
Element x y z (fractional)
Cr 0.0000 0.0000 0.5000  2 Hf 2.52
Cr 0.5000 0.0000 0.0000  2 Hf 2.52
Zn 0.5000 0.5000 0.5000  8 Cr 3.05
Hf 0.0000 0.0000 0.0000  2 H 1.72
H 0.0000 0.5000 0.0000  2 Hf 1.72

Values from the calculation:
- space group = P4/mmm (123)
- E_tot (eV/atom) = -5.71

---

Entry 5:
VASP calculation (PBE) on an optimized crystal structure of SnBAu2.

Lattice parameters (Å, degrees): 5.1631 5.1631 7.3479 69.43 69.43 90.00
Closest atoms and distances in Å follow each position.
Element x y z (fractional)
B 0.5000 0.5000 0.0000  4 Au 2.17
B 0.2500 0.7500 0.5000  4 Au 2.17
Au 0.5124 0.1250 0.2500  2 B 2.17
Au 0.2376 0.6250 0.2500  2 B 2.17
Au 0.3750 0.4876 0.7500  2 B 2.17
Au 0.8750 0.7624 0.7500  2 B 2.17
Sn 0.0000 0.0000 0.0000  4 Au 2.78
Sn 0.7500 0.2500 0.5000  4 Au 2.78

Values from the calculation:
- space group = I-42d (122)
- ΔH_f (0 K) (meV per atom) = 372

---

Entry 6:
VASP calculation (PBE) on an optimized crystal structure of Ti4CuHg.

Lattice parameters (Å, degrees): 2.9159 2.9159 11.9882 90.00 90.00 90.00
Closest atoms and distances in Å follow each position.
Element x y z (fractional)
Ti 0.5000 0.5000 0.1921  8 Ti 2.82-2.92, 4 Hg 3.09
Ti 0.0000 0.0000 0.6474  4 Cu 2.72, 8 Ti 2.82-2.92
Ti 0.0000 0.0000 0.3526  4 Cu 2.72, 8 Ti 2.82-2.92
Ti 0.5000 0.5000 0.8079  8 Ti 2.82-2.92, 4 Hg 3.09
Cu 0.5000 0.5000 0.5000  8 Ti 2.72, 4 Cu 2.92
Hg 0.0000 0.0000 0.0000  4 Hg 2.92, 8 Ti 3.09

Values from the calculation:
- space group = P4/mmm (123)
- ΔH_f (0 K) (meV per atom) = -95

---

Entry 7:
VASP calculation (PBE) on an optimized crystal structure of Ac2VHN3.

Lattice parameters (Å, degrees): 3.8313 4.0213 7.1660 106.29 105.51 90.00
Closest atoms and distances in Å follow each position.
Element x y z (fractional)
Ac 0.6434 0.6434 0.2869  7 N 2.69-2.78, 2 H 2.76
Ac 0.3566 0.3566 0.7131  7 N 2.69-2.78, 2 H 2.76
V 0.0000 0.0000 0.0000  2 H 1.92, 4 N 2.01
H 0.5000 0.0000 0.0000  2 V 1.92
N 0.0000 0.5000 0.0000  2 V 2.01
N 0.1519 0.1519 0.3038  1 V 2.01
N 0.8481 0.8481 0.6962  1 V 2.01

Values from the calculation:
- space group = Immm (71)
- E_tot (eV/atom) = -7.53

---

Entry 8:
VASP calculation (PBE) on an optimized crystal structure of KRu2Rh.

Lattice parameters (Å, degrees): 7.5792 7.5792 6.0250 51.02 51.02 90.00
Closest atoms and distances in Å follow each position.
Element x y z (fractional)
Ru 0.6873 0.1250 0.2500  2 Rh 2.47
Ru 0.0627 0.6250 0.2500  2 Rh 2.47
Ru 0.3750 0.3127 0.7500  2 Rh 2.47
Ru 0.8750 0.9373 0.7500  2 Rh 2.47
K 0.5000 0.5000 0.0000  2 Rh 2.75
K 0.2500 0.7500 0.5000  2 Rh 2.75
Rh 0.0000 0.0000 0.0000  4 Ru 2.47, 2 K 2.75
Rh 0.7500 0.2500 0.5000  4 Ru 2.47, 2 K 2.75

Values from the calculation:
- space group = I-42d (122)
- ΔH_f (0 K) (meV per atom) = 1346

---

Entry 9:
VASP calculation (PBE) on an optimized crystal structure of RbGaTcGe2.

Lattice parameters (Å, degrees): 4.9040 4.9040 4.9635 90.00 90.00 90.00
Closest atoms and distances in Å follow each position.
Element x y z (fractional)
Ge 0.0000 0.5000 0.0000  2 Tc 2.45
Ge 0.5000 0.0000 0.0000  2 Tc 2.45
Ga 0.0000 0.0000 0.5000  2 Tc 2.48
Tc 0.0000 0.0000 0.0000  4 Ge 2.45, 2 Ga 2.48
Rb 0.5000 0.5000 0.5000  4 Ga 3.47, 8 Ge 3.49

Values from the calculation:
- space group = P4/mmm (123)
- ΔH_f (0 K) (meV per atom) = -28

---

Entry 10:
VASP calculation (PBE) on an optimized crystal structure of HfOsF2.

Lattice parameters (Å, degrees): 4.2998 4.2998 4.2998 64.34 64.34 64.34
Closest atoms and distances in Å follow each position.
Element x y z (fractional)
Hf 0.0000 0.0000 0.0000  2 F 2.03
Os 0.5000 0.5000 0.5000  6 F 2.66
F 0.8004 0.8004 0.8004  1 Hf 2.03
F 0.1996 0.1996 0.1996  1 Hf 2.03

Values from the calculation:
- uncorrected formation energy (eV/atom) = -0.443
- space group = R-3m (166)

---

Entry 11:
VASP calculation (PBE) on an optimized crystal structure of AcTb5Sm2Y.

Lattice parameters (Å, degrees): 8.9238 8.9238 9.9839 116.55 116.55 90.00
Closest atoms and distances in Å follow each position.
Element x y z (fractional)
Ac 0.2500 0.2500 0.5000  10 Tb 3.70-3.87
Ac 0.7500 0.7500 0.5000  10 Tb 3.70-3.87
Tb 0.9251 0.4251 0.2620  1 Sm 3.03, 1 Y 3.19
Tb 0.6631 0.1631 0.7380  1 Sm 3.03, 1 Y 3.19
Tb 0.0749 0.5749 0.7380  1 Sm 3.03, 1 Y 3.19
Tb 0.1631 0.0749 0.7380  1 Sm 3.03, 1 Y 3.19
Tb 0.5749 0.6631 0.7380  1 Sm 3.03, 1 Y 3.19
Tb 0.8369 0.9251 0.2620  1 Sm 3.03, 1 Y 3.19
Tb 0.4251 0.3369 0.2620  1 Sm 3.03, 1 Y 3.19
Tb 0.3369 0.8369 0.2620  1 Sm 3.03, 1 Y 3.19
Tb 0.5000 0.5000 0.0000  4 Sm 3.58, 8 Tb 3.79, 2 Ac 3.87
Tb 0.0000 0.0000 0.0000  4 Sm 3.58, 8 Tb 3.79, 2 Ac 3.87
Sm 0.1154 0.3846 0.0000  1 Sm 2.91, 2 Tb 3.03
Sm 0.6154 0.1154 0.0000  1 Sm 2.91, 2 Tb 3.03
Sm 0.3846 0.8846 0.0000  1 Sm 2.91, 2 Tb 3.03
Sm 0.8846 0.6154 0.0000  1 Sm 2.91, 2 Tb 3.03
Y 0.2500 0.7500 0.5000  4 Tb 3.19
Y 0.7500 0.2500 0.5000  4 Tb 3.19

Values from the calculation:
- space group = I4/mcm (140)
- ΔH_f (0 K) (meV per atom) = 262

---

Entry 12:
VASP calculation (PBE) on an optimized crystal structure of TaBe2Sb.

Lattice parameters (Å, degrees): 3.4442 3.4442 5.1894 90.00 90.00 90.00
Closest atoms and distances in Å follow each position.
Element x y z (fractional)
Sb 0.0000 0.0000 0.4899  6 Be 2.51-2.76
Be 0.0000 0.0000 0.0063  2 Sb 2.51-2.68, 4 Be 2.72, 4 Ta 2.74
Be 0.5000 0.5000 0.2402  2 Ta 2.47-2.72, 4 Be 2.72, 4 Sb 2.76
Ta 0.5000 0.5000 0.7636  6 Be 2.47-2.74

Values from the calculation:
- uncorrected formation energy (eV/atom) = 0.327
- space group = P4mm (99)

---

Repeat the second record exactly.
VASP calculation (PBE) on an optimized crystal structure of ReOsPt2.

Lattice parameters (Å, degrees): 3.9104 2.7538 6.2351 63.76 90.00 90.00
Closest atoms and distances in Å follow each position.
Element x y z (fractional)
Re 0.0000 0.4850 0.5133  4 Os 2.69-2.70, 6 Pt 2.70-2.90, 2 Re 2.75
Os 0.5000 0.7662 0.7365  4 Re 2.69-2.70, 6 Pt 2.69-2.90, 2 Os 2.75
Pt 0.0000 0.0043 0.9952  2 Re 2.70-2.90, 6 Pt 2.75-2.80, 4 Os 2.79-2.80
Pt 0.5000 0.2445 0.2550  2 Os 2.69-2.90, 6 Pt 2.75-2.80, 4 Re 2.79-2.80

Values from the calculation:
- space group = Pm (6)
- ΔH_f (0 K) (meV per atom) = -28